The following is a PBE+U calculation of a relaxed Li3Mn5OF11 crystal, from Alexandria.

Cell: 5.3564 5.7110 9.4069 Å, 73.42 89.25 63.11°
Positions (direct):
Li 0.0000 0.0000 0.0000
Li 0.2079 0.5616 0.7201
Li 0.7459 0.4899 0.2408
Mn 0.0704 0.8383 0.3482
Mn 0.3051 0.3747 0.0868
Mn 0.5303 0.9797 0.4975
Mn 0.5645 0.8798 0.8574
Mn 0.8453 0.3698 0.6033
O 0.9500 0.6848 0.5432
F 0.0137 0.6700 0.8878
F 0.0724 0.1528 0.1476
F 0.0837 0.1651 0.4472
F 0.1142 0.1602 0.8118
F 0.4701 0.6687 0.0546
F 0.4909 0.6899 0.7048
F 0.5180 0.6574 0.3901
F 0.5670 0.1877 0.6495
F 0.5911 0.1615 0.9579
F 0.6032 0.1908 0.2879
F 0.9979 0.6643 0.1892

## Properties
symmetry = P1 (1)
DFT total energy = -6.043 eV/atom
excess energy over the best structure of this formula in the dataset = 0.000 eV/atom